[1]
PBE ErCdAg3, relaxed; space group = P2_1/m; distance to the lowest polymorph of the same formula = 1.57 kcal/mol of atoms; energy = -2.953 eV per atom; energy relative to the elements = -0.15 eV/atom
1.0
-0.752 4.460 2.144
-2.062 -2.816 5.136
5.879 2.153 3.541
Ag Cd Er
6 2 2
direct
0.815 0.003 0.868
0.815 0.497 0.868
0.185 0.997 0.132
0.989 0.750 0.517
0.011 0.250 0.483
0.185 0.503 0.132
0.361 0.750 0.774
0.639 0.250 0.226
0.392 0.250 0.715
0.608 0.750 0.285



[2]
PBE ErCd6Ag6, relaxed; space group = P6/mmm; distance to the lowest polymorph of the same formula = 0.00 kcal/mol of atoms; energy = -2.187 eV per atom; energy relative to the elements = -0.10 eV/atom
1.0
-2.149 -4.954 -1.732
5.549 1.034 -0.558
1.590 -3.774 8.823
Cd Ag Er
6 6 1
direct
0.000 0.000 0.347
0.667 0.333 0.000
0.667 0.333 0.500
0.333 0.667 0.500
0.000 0.000 0.653
0.333 0.667 0.000
0.500 0.000 0.755
0.500 0.000 0.245
0.000 0.500 0.245
0.500 0.500 0.755
0.500 0.500 0.245
0.000 0.500 0.755
0.000 0.000 0.000



[3]
PBE ErCd2Ag6, relaxed; space group = C2/m; distance to the lowest polymorph of the same formula = 0.00 kcal/mol of atoms; energy = -2.712 eV per atom; energy relative to the elements = -0.10 eV/atom
1.0
4.406 0.000 0.000
2.203 4.629 0.004
2.203 2.252 8.678
Cd Ag Er
2 6 1
direct
0.682 0.371 0.266
0.318 0.629 0.734
0.658 0.064 0.621
0.014 0.816 0.156
0.663 0.732 0.942
0.986 0.184 0.844
0.342 0.936 0.379
0.337 0.268 0.058
0.000 0.500 0.500



[4]
PBE Er2CdAg8, relaxed; space group = C2/m; energy = -3.131 eV per atom; energy relative to the elements = -0.14 eV/atom
1.0
4.799 0.000 0.000
0.000 7.257 -0.037
-2.400 -3.204 6.347
Er Ag Cd
2 8 1
direct
0.780 0.350 0.560
0.220 0.650 0.440
0.413 0.559 0.825
0.028 0.721 0.056
0.587 0.441 0.175
0.671 0.884 0.343
0.140 0.164 0.281
0.972 0.279 0.944
0.860 0.836 0.719
0.329 0.116 0.657
0.500 0.000 0.000



[5]
PBE ErCd4Ag, relaxed; space group = C2/m; distance to the lowest polymorph of the same formula = 0.00 kcal/mol of atoms; energy = -2.010 eV per atom; energy relative to the elements = -0.16 eV/atom
1.0
-0.856 3.458 3.386
2.113 -4.387 1.446
6.010 1.777 -0.295
Cd Ag Er
4 1 1
direct
0.312 0.116 0.754
0.696 0.883 0.242
0.370 0.231 0.241
0.638 0.768 0.755
0.004 0.500 0.998
0.004 0.499 0.498



[6]
PBE Er3Cd3Ag2, relaxed; space group = P-62m; energy = -3.055 eV per atom; energy relative to the elements = -0.29 eV/atom
1.0
-0.234 -2.959 -2.371
4.584 -4.056 4.610
-7.594 -0.203 1.004
Cd Er Ag
3 3 2
direct
0.000 0.000 0.230
0.000 0.770 0.770
0.000 0.230 0.000
0.500 0.589 0.000
0.500 0.000 0.589
0.500 0.411 0.411
0.000 0.667 0.333
0.000 0.333 0.667



[7]
PBE ErCdAg, relaxed; space group = F-43m; energy = -2.907 eV per atom; energy relative to the elements = -0.13 eV/atom
1.0
-4.284 2.079 0.438
-3.873 -2.666 0.870
-2.132 0.204 4.275
Er Ag Cd
1 1 1
direct
0.000 0.000 0.000
0.250 0.250 0.250
0.500 0.500 0.500



[8]
PBE ErCd5Ag2, relaxed; space group = I4/mcm; energy = -1.856 eV per atom; energy relative to the elements = 0.00 eV/atom
1.0
-2.749 -0.803 -7.067
-5.132 -5.022 2.567
-0.115 7.592 3.296
Cd Ag Er
10 4 2
direct
0.504 0.298 0.302
0.496 0.702 0.698
0.702 0.202 0.698
0.798 0.004 0.302
0.004 0.504 0.302
0.202 0.996 0.698
0.500 0.500 0.000
0.298 0.798 0.302
0.996 0.496 0.698
0.000 0.000 0.000
0.645 0.145 0.000
0.855 0.645 0.000
0.355 0.855 0.000
0.145 0.355 0.000
0.250 0.250 0.500
0.750 0.750 0.500